<w>
ReTe2IrN | meta-GGA SCAN | single point on PBEsol structure Values from VASP.

```
&SYSTEM
  ibrav = 0, nat = 5, ntyp = 4
/
ATOMIC_SPECIES
Re 186.21 Re.upf
Te 127.60 Te.upf
Ir 192.22 Ir.upf
N 14.01 N.upf
CELL_PARAMETERS angstrom
5.276 0.000 0.000
0.000 5.276 0.000
0.000 0.000 3.579
ATOMIC_POSITIONS angstrom
Re 0.000 0.000 0.000
Te 0.000 2.638 1.789
Te 2.638 0.000 1.789
Ir 2.638 2.638 1.789
N 2.638 2.638 0.000
```

SG = P4/mmm (123)
Mass density = 10.8 g cm⁻³
Total magnetization = 0.433 μB/atom

<x>
ReTe2IrN | meta-GGA SCAN | single point on PBEsol structure Values from VASP.

```
&SYSTEM
  ibrav = 0, nat = 5, ntyp = 4
/
ATOMIC_SPECIES
Re 186.21 Re.upf
Te 127.60 Te.upf
Ir 192.22 Ir.upf
N 14.01 N.upf
CELL_PARAMETERS angstrom
5.190 0.000 0.000
0.000 5.190 0.000
0.000 0.000 3.641
ATOMIC_POSITIONS angstrom
Re 0.000 0.000 0.000
Te 0.000 2.595 0.000
Te 2.595 0.000 0.000
Ir 2.595 2.595 1.820
N 0.000 0.000 1.820
```

SG = P4/mmm (123)
Mass density = 11.0 g cm⁻³
Total magnetization = 0.000 μB/atom

Quick one: least stable of them? <w>

<w>
TlIrS2N | meta-GGA SCAN | single point on PBEsol structure Values from VASP.

```
&SYSTEM
  ibrav = 0, nat = 5, ntyp = 4
/
ATOMIC_SPECIES
Tl 204.38 Tl.upf
Ir 192.22 Ir.upf
S 32.06 S.upf
N 14.01 N.upf
CELL_PARAMETERS angstrom
4.925 0.000 0.000
0.000 4.925 0.000
0.000 0.000 3.660
ATOMIC_POSITIONS angstrom
Tl 0.000 0.000 0.000
Ir 2.462 2.462 1.830
S 0.000 2.462 1.830
S 2.462 0.000 1.830
N 2.462 2.462 0.000
```

SG = P4/mmm (123)
Mass density = 8.9 g cm⁻³
Total magnetization = 0.000 μB/atom

<x>
TlIrS2N | meta-GGA SCAN | single point on PBEsol structure Values from VASP.

```
&SYSTEM
  ibrav = 0, nat = 5, ntyp = 4
/
ATOMIC_SPECIES
Tl 204.38 Tl.upf
Ir 192.22 Ir.upf
S 32.06 S.upf
N 14.01 N.upf
CELL_PARAMETERS angstrom
4.871 0.000 0.000
0.000 4.871 0.000
0.000 0.000 3.690
ATOMIC_POSITIONS angstrom
Tl 0.000 0.000 0.000
Ir 2.436 2.436 0.000
S 0.000 2.436 1.845
S 2.436 0.000 1.845
N 2.436 2.436 1.845
```

SG = P4/mmm (123)
Mass density = 9.0 g cm⁻³
Total magnetization = 0.000 μB/atom

Quick one: least stable of them? <x>

<w>
NaIrPt2 | meta-GGA SCAN | single point on PBEsol structure Values from VASP.

```
&SYSTEM
  ibrav = 0, nat = 8, ntyp = 3
/
ATOMIC_SPECIES
Na 22.99 Na.upf
Ir 192.22 Ir.upf
Pt 195.08 Pt.upf
CELL_PARAMETERS angstrom
-2.419 2.419 8.365
2.419 -2.419 8.365
2.419 2.419 -8.365
ATOMIC_POSITIONS angstrom
Na 0.000 0.000 0.000
Na 0.000 2.419 4.182
Ir 2.419 0.000 4.182
Ir 0.000 0.000 8.365
Pt 1.210 -0.349 6.274
Pt 2.070 1.210 2.091
Pt 1.210 2.768 -2.091
Pt 0.349 1.210 10.456
```

SG = I-42d (122)
Mass density = 10.3 g cm⁻³
Total magnetization = 0.001 μB/atom

<x>
NaIrPt2 | meta-GGA SCAN | single point on PBEsol structure Values from VASP.

```
&SYSTEM
  ibrav = 0, nat = 4, ntyp = 3
/
ATOMIC_SPECIES
Na 22.99 Na.upf
Ir 192.22 Ir.upf
Pt 195.08 Pt.upf
CELL_PARAMETERS angstrom
0.000 3.125 3.125
3.125 0.000 3.125
3.125 3.125 0.000
ATOMIC_POSITIONS angstrom
Na 0.000 0.000 0.000
Ir 3.125 3.125 3.125
Pt 1.562 1.562 1.562
Pt 4.687 4.687 4.687
```

SG = Fm-3m (225)
Mass density = 16.5 g cm⁻³
Total magnetization = 0.000 μB/atom

Quick one: least stable of them? <w>

<w>
Nb15IrS32 | meta-GGA SCAN | single point on PBEsol structure Values from VASP.

```
&SYSTEM
  ibrav = 0, nat = 48, ntyp = 3
/
ATOMIC_SPECIES
Nb 92.91 Nb.upf
Ir 192.22 Ir.upf
S 32.06 S.upf
CELL_PARAMETERS angstrom
5.775 -6.630 0.000
5.775 6.630 0.000
-5.760 0.000 11.699
ATOMIC_POSITIONS angstrom
Nb 0.000 0.000 0.000
Nb 0.007 3.315 5.849
Nb 2.728 1.640 0.016
Nb 2.895 4.889 5.849
Nb 0.024 0.000 5.841
Nb 5.775 3.031 0.000
Nb 2.728 -1.640 0.016
Nb 2.895 1.581 5.849
Nb 0.007 -3.315 5.849
Nb 2.895 -1.581 5.849
Nb 3.061 1.640 11.682
Nb 5.775 -3.031 0.000
Nb 5.765 0.000 5.857
Nb 2.895 -4.889 5.849
Nb 3.061 -1.640 11.682
Ir 5.775 0.000 0.000
S 0.906 1.718 1.545
S 0.980 4.966 7.406
S -3.857 0.000 10.099
S 1.925 3.289 4.286
S -1.924 0.000 7.344
S 3.860 3.282 1.542
S 4.809 4.966 4.293
S -0.969 1.548 10.146
S 0.906 -1.718 1.545
S 0.970 1.654 7.402
S 1.925 0.000 4.239
S 1.929 3.282 10.157
S 3.866 0.000 1.464
S 3.864 3.289 7.413
S -0.969 -1.548 10.146
S 4.820 1.654 4.297
S 0.970 -1.654 7.402
S 6.758 1.548 1.553
S 1.925 -3.289 4.286
S 1.924 0.000 10.234
S 3.860 -3.282 1.542
S 3.864 0.000 7.460
S 4.820 -1.654 4.297
S 4.883 1.718 10.153
S 6.758 -1.548 1.553
S 0.980 -4.966 7.406
S 1.929 -3.282 10.157
S 7.713 0.000 4.354
S 3.864 -3.289 7.413
S 9.647 0.000 1.599
S 4.809 -4.966 4.293
S 4.883 -1.718 10.153
```

SG = C2/m (12)
Mass density = 4.8 g cm⁻³
Total magnetization = 0.000 μB/atom

<x>
Nb15IrS32 | meta-GGA SCAN | single point on PBEsol structure Values from VASP.

```
&SYSTEM
  ibrav = 0, nat = 48, ntyp = 3
/
ATOMIC_SPECIES
Nb 92.91 Nb.upf
Ir 192.22 Ir.upf
S 32.06 S.upf
CELL_PARAMETERS angstrom
8.813 0.000 0.000
-1.316 8.719 0.000
-3.702 -4.367 11.693
ATOMIC_POSITIONS angstrom
Nb 0.000 0.000 0.000
Nb -2.437 2.187 5.852
Nb -1.813 5.768 5.835
Nb -2.479 2.200 11.688
Nb 0.201 0.163 5.841
Nb 0.724 3.343 5.853
Nb -0.434 -3.145 11.682
Nb 2.596 -1.978 5.841
Nb 0.308 0.284 11.690
Nb 0.591 3.579 11.684
Nb 3.308 1.214 5.846
Nb 3.856 4.691 5.832
Nb 2.814 -1.876 11.693
Nb 5.722 -0.901 5.839
Nb 3.350 1.215 11.689
Ir -3.224 -0.717 11.686
S 7.605 3.894 1.658
S -3.716 0.921 10.025
S -1.150 -1.247 4.278
S -1.748 0.501 7.404
S -0.577 7.086 1.606
S -0.532 1.962 4.283
S -3.052 4.136 10.185
S 1.242 1.794 1.309
S -1.185 3.801 7.315
S -1.274 -1.202 10.375
S 0.065 5.245 4.333
S 1.939 4.826 1.486
S 0.775 -1.635 7.452
S 2.009 -0.186 4.247
S -0.515 1.998 10.145
S 3.765 -0.543 1.565
S 1.398 1.612 7.422
S 1.407 -3.344 10.117
S 2.629 3.091 4.339
S 1.961 4.897 7.374
S 4.516 2.741 1.492
S 3.183 6.373 4.244
S 2.036 -0.183 10.084
S 5.068 6.084 1.539
S 3.894 -0.560 7.425
S 2.549 3.092 10.143
S 5.120 0.885 4.219
S 7.000 0.561 1.535
S 4.512 2.738 7.351
S 5.759 4.173 4.373
S 4.641 -2.341 10.204
S 6.439 -2.699 7.421
```

SG = P1 (1)
Mass density = 4.8 g cm⁻³
Total magnetization = 0.000 μB/atom

Quick one: least stable of them? <w>

<w>
NbSbTe2Ir | meta-GGA SCAN | single point on PBEsol structure Values from VASP.

```
&SYSTEM
  ibrav = 0, nat = 5, ntyp = 4
/
ATOMIC_SPECIES
Nb 92.91 Nb.upf
Sb 121.76 Sb.upf
Te 127.60 Te.upf
Ir 192.22 Ir.upf
CELL_PARAMETERS angstrom
5.247 0.000 0.000
0.000 5.247 0.000
0.000 0.000 4.883
ATOMIC_POSITIONS angstrom
Nb 0.000 0.000 0.000
Sb 2.623 2.623 0.000
Te 0.000 2.623 2.441
Te 2.623 0.000 2.441
Ir 2.623 2.623 2.441
```

SG = P4/mmm (123)
Mass density = 8.2 g cm⁻³
Total magnetization = 0.498 μB/atom

<x>
NbSbTe2Ir | meta-GGA SCAN | single point on PBEsol structure Values from VASP.

```
&SYSTEM
  ibrav = 0, nat = 5, ntyp = 4
/
ATOMIC_SPECIES
Nb 92.91 Nb.upf
Sb 121.76 Sb.upf
Te 127.60 Te.upf
Ir 192.22 Ir.upf
CELL_PARAMETERS angstrom
5.162 0.000 0.000
0.000 5.162 0.000
0.000 0.000 5.216
ATOMIC_POSITIONS angstrom
Nb 0.000 0.000 0.000
Sb 0.000 0.000 2.608
Te 0.000 2.581 0.000
Te 2.581 0.000 0.000
Ir 2.581 2.581 2.608
```

SG = P4/mmm (123)
Mass density = 7.9 g cm⁻³
Total magnetization = 0.000 μB/atom

Quick one: least stable of them? <x>

<w>
Nb3IrSe8 | meta-GGA SCAN | single point on PBEsol structure Values from VASP.

```
&SYSTEM
  ibrav = 0, nat = 24, ntyp = 3
/
ATOMIC_SPECIES
Nb 92.91 Nb.upf
Ir 192.22 Ir.upf
Se 78.96 Se.upf
CELL_PARAMETERS angstrom
5.904 -3.433 0.000
5.904 3.433 0.000
-5.845 0.000 12.514
ATOMIC_POSITIONS angstrom
Nb 1.520 2.468 9.385
Nb -1.237 0.791 9.356
Nb 1.686 -0.791 3.099
Nb 4.276 0.791 9.415
Nb 7.199 -0.791 3.158
Nb 4.442 -2.468 3.128
Ir 4.442 0.483 3.128
Ir 1.520 -0.483 9.385
Se 3.520 2.381 1.729
Se -0.468 2.520 11.065
Se 0.550 0.955 7.551
Se 3.508 2.520 7.706
Se 2.555 0.901 4.752
Se 5.365 2.381 4.527
Se 6.330 0.901 1.505
Se 3.473 -0.955 1.294
Se 2.490 0.955 11.220
Se -0.368 -0.901 11.008
Se 0.598 -2.381 7.986
Se 3.407 -0.901 7.762
Se 2.454 -2.520 4.808
Se 5.412 -0.955 4.963
Se 6.430 -2.520 1.449
Se 2.442 -2.381 10.784
```

SG = C2/c (15)
Mass density = 7.2 g cm⁻³
Total magnetization = 0.000 μB/atom

<x>
Nb3IrSe8 | meta-GGA SCAN | single point on PBEsol structure Values from VASP.

```
&SYSTEM
  ibrav = 0, nat = 12, ntyp = 3
/
ATOMIC_SPECIES
Nb 92.91 Nb.upf
Ir 192.22 Ir.upf
Se 78.96 Se.upf
CELL_PARAMETERS angstrom
5.810 -3.358 0.000
5.810 3.358 0.000
-5.721 0.000 6.467
ATOMIC_POSITIONS angstrom
Nb 0.000 0.000 0.000
Nb 2.905 1.679 0.000
Nb 2.905 -1.679 0.000
Ir 5.810 0.000 0.000
Se -3.782 0.000 4.764
Se -0.848 1.624 4.771
Se 6.747 1.624 1.696
Se 3.938 0.000 1.708
Se 1.961 0.000 4.760
Se -0.848 -1.624 4.771
Se 6.747 -1.624 1.696
Se 9.680 0.000 1.703
```

SG = C2/m (12)
Mass density = 7.3 g cm⁻³
Total magnetization = 0.000 μB/atom

Quick one: least stable of them? <x>

<w>
Ni2Ir | meta-GGA SCAN | single point on PBEsol structure Values from VASP.

```
&SYSTEM
  ibrav = 0, nat = 6, ntyp = 2
/
ATOMIC_SPECIES
Ni 58.69 Ni.upf
Ir 192.22 Ir.upf
CELL_PARAMETERS angstrom
4.664 -1.304 0.000
4.664 1.304 0.000
-1.518 0.000 5.842
ATOMIC_POSITIONS angstrom
Ni 0.000 0.000 0.000
Ni -0.429 0.000 3.574
Ni 3.201 0.000 1.572
Ni 5.284 0.000 5.511
Ir 2.099 0.000 3.936
Ir 5.700 0.000 1.919
```

SG = Cm (8)
Mass density = 14.5 g cm⁻³
Total magnetization = 0.727 μB/atom

<x>
Ni2Ir | meta-GGA SCAN | single point on PBEsol structure Values from VASP.

```
&SYSTEM
  ibrav = 0, nat = 3, ntyp = 2
/
ATOMIC_SPECIES
Ni 58.69 Ni.upf
Ir 192.22 Ir.upf
CELL_PARAMETERS angstrom
-1.309 1.309 5.132
1.309 -1.309 5.132
1.309 1.309 -5.132
ATOMIC_POSITIONS angstrom
Ni 0.000 0.000 1.747
Ni 0.000 0.000 8.517
Ir 0.000 0.000 5.132
```

SG = I4/mmm (139)
Mass density = 14.6 g cm⁻³
Total magnetization = 0.652 μB/atom

<y>
Ni2Ir | meta-GGA SCAN | single point on PBEsol structure Values from VASP.

```
&SYSTEM
  ibrav = 0, nat = 12, ntyp = 2
/
ATOMIC_SPECIES
Ni 58.69 Ni.upf
Ir 192.22 Ir.upf
CELL_PARAMETERS angstrom
5.074 0.000 0.000
0.000 3.633 0.000
0.000 0.000 7.597
ATOMIC_POSITIONS angstrom
Ni 0.600 0.908 1.894
Ni 0.628 0.908 6.960
Ni 1.909 2.724 3.162
Ni 1.937 2.724 5.693
Ni 3.137 0.908 1.904
Ni 3.165 0.908 4.435
Ni 4.446 2.724 0.637
Ni 4.474 2.724 5.703
Ir 0.659 0.908 4.439
Ir 1.878 2.724 0.640
Ir 3.196 0.908 6.957
Ir 4.415 2.724 3.158
```

SG = Pnma (62)
Mass density = 14.7 g cm⁻³
Total magnetization = 0.690 μB/atom

Quick one: least stable of them? <x>

<w>
Ni2Ir | meta-GGA SCAN | single point on PBEsol structure Values from VASP.

```
&SYSTEM
  ibrav = 0, nat = 3, ntyp = 2
/
ATOMIC_SPECIES
Ni 58.69 Ni.upf
Ir 192.22 Ir.upf
CELL_PARAMETERS angstrom
4.026 0.000 0.000
-2.013 3.486 0.000
0.000 0.000 2.522
ATOMIC_POSITIONS angstrom
Ni 0.000 2.324 0.000
Ni 2.013 1.162 0.000
Ir 0.000 0.000 1.261
```

SG = P6/mmm (191)
Mass density = 14.5 g cm⁻³
Total magnetization = 0.803 μB/atom

<x>
Ni2Ir | meta-GGA SCAN | single point on PBEsol structure Values from VASP.

```
&SYSTEM
  ibrav = 0, nat = 6, ntyp = 2
/
ATOMIC_SPECIES
Ni 58.69 Ni.upf
Ir 192.22 Ir.upf
CELL_PARAMETERS angstrom
1.782 -5.398 0.000
1.782 5.398 0.000
0.000 0.000 3.629
ATOMIC_POSITIONS angstrom
Ni 1.782 4.484 2.722
Ni 1.782 2.712 0.907
Ni 1.782 -2.712 2.722
Ni 1.782 -4.484 0.907
Ir 1.782 0.923 2.722
Ir 1.782 -0.923 0.907
```

SG = Cmcm (63)
Mass density = 14.7 g cm⁻³
Total magnetization = 0.001 μB/atom

Quick one: least stable of them? <w>